(1)
DFT (PBE) results for a relaxed Pa6Ge5As crystal.

Summary:
Total moment   0.00 Bohr magnetons per cell
Electronic total energy   -7.604 eV per atom
Crystal system   monoclinic

Unit cell a=7.1522 b=7.1474 c=7.1515 alpha=60.02 beta=80.40 gamma=70.51
With the nearest neighbours (Å) after each atom.
Fractional positions:
Ge 0.0000 0.6668 0.6664  6 Pa 2.92
Ge 0.5000 0.5000 0.0000  6 Pa 2.92
Ge 0.5000 0.8336 0.3329  6 Pa 2.92
Ge 0.0000 0.3332 0.3336  6 Pa 2.92
Ge 0.5000 0.1664 0.6671  6 Pa 2.92
As 0.0000 0.0000 0.0000  6 Pa 2.92
Pa 0.7498 0.0834 0.3332  5 Ge 2.92, 1 As 2.92
Pa 0.2502 0.9166 0.6668  5 Ge 2.92, 1 As 2.92
Pa 0.2502 0.5834 0.3332  5 Ge 2.92, 1 As 2.92
Pa 0.7498 0.4166 0.6668  5 Ge 2.92, 1 As 2.92
Pa 0.2497 0.2501 0.0000  1 As 2.92, 5 Ge 2.92
Pa 0.7503 0.7499 0.0000  1 As 2.92, 5 Ge 2.92


(2)
DFT (PBE) results for a relaxed Pa4GeAs2Pt crystal.

Summary:
Total moment   0.00 Bohr magnetons per cell
Electronic total energy   -8.032 eV per atom
Crystal system   monoclinic

Unit cell a=4.0112 b=7.1669 c=7.1979 alpha=71.20 beta=90.00 gamma=90.00
With the nearest neighbours (Å) after each atom.
Fractional positions:
Pa 0.0000 0.7408 0.7582  2 Pt 2.84, 1 Ge 2.92, 3 As 2.93-2.95
Pa 0.5000 0.2515 0.7523  3 As 2.89-2.94, 1 Pt 2.90, 2 Ge 2.90
Pa 0.0000 0.2592 0.2418  2 Pt 2.84, 1 Ge 2.92, 3 As 2.93-2.95
Pa 0.5000 0.7485 0.2477  3 As 2.89-2.94, 1 Pt 2.90, 2 Ge 2.90
As 0.0000 0.0000 0.0000  6 Pa 2.89-2.93
As 0.5000 0.0000 0.5000  6 Pa 2.94-2.95
Ge 0.0000 0.5000 0.5000  6 Pa 2.90-2.92
Pt 0.5000 0.5000 0.0000  6 Pa 2.84-2.90


(3)
DFT (PBE) results for a relaxed PuPaGeAs crystal.

Summary:
Total moment   5.55 Bohr magnetons per cell
Electronic total energy   -8.987 eV per atom
Crystal system   trigonal

Unit cell a=4.1648 b=4.1648 c=7.1117 alpha=72.97 beta=72.97 gamma=60.00
With the nearest neighbours (Å) after each atom.
Fractional positions:
As 0.6924 0.6924 0.9229  3 Pa 2.91, 3 Pu 2.94
Ge 0.1967 0.1967 0.4100  3 Pa 2.90, 3 Pu 2.96
Pu 0.4437 0.4437 0.6689  3 As 2.94, 3 Ge 2.96
Pa 0.9437 0.9437 0.1688  3 Ge 2.90, 3 As 2.91


(4)
DFT (PBE) results for a relaxed Pa2Ge3AsRh4 crystal.

Summary:
Total moment   0.00 Bohr magnetons per cell
Electronic total energy   -7.432 eV per atom
Crystal system   tetragonal

Unit cell a=4.2422 b=4.2422 c=9.9039 alpha=90.00 beta=90.00 gamma=90.00
With the nearest neighbours (Å) after each atom.
Fractional positions:
Rh 0.5000 0.5000 0.0000  4 Ge 2.51
Rh 0.0000 0.5000 0.3771  3 Ge 2.39-2.45, 2 As 2.45
Rh 0.0000 0.0000 0.0000  4 Ge 2.51
Rh 0.5000 0.0000 0.6229  3 Ge 2.39-2.45, 2 As 2.45
Ge 0.0000 0.0000 0.5000  4 Rh 2.45
Ge 0.5000 0.0000 0.8641  5 Rh 2.39-2.51
Ge 0.0000 0.5000 0.1359  5 Rh 2.39-2.51
Pa 0.5000 0.0000 0.2482  6 Ge 3.20-3.27, 8 Rh 3.25-3.26, 2 As 3.27
Pa 0.0000 0.5000 0.7518  6 Ge 3.20-3.27, 8 Rh 3.25-3.26, 2 As 3.27
As 0.5000 0.5000 0.5000  4 Rh 2.45


(5)
DFT (PBE) results for a relaxed Pa4GeAsS2 crystal.

Summary:
Total moment   0.00 Bohr magnetons per cell
Raw formation energy   -1.194 eV/atom
Electronic total energy   -8.132 eV per atom
Crystal system   monoclinic

Unit cell a=4.0554 b=6.8015 c=7.0200 alpha=69.86 beta=90.00 gamma=90.00
With the nearest neighbours (Å) after each atom.
Fractional positions:
Pa 0.0000 0.2320 0.2563  3 S 2.77, 1 Ge 2.90, 2 As 2.90
Pa 0.5000 0.7677 0.2444  3 S 2.77, 2 Ge 2.90, 1 As 2.90
Pa 0.0000 0.7680 0.7437  3 S 2.77, 1 Ge 2.90, 2 As 2.90
Pa 0.5000 0.2323 0.7556  3 S 2.77, 2 Ge 2.90, 1 As 2.90
S 0.5000 0.0000 0.5000  6 Pa 2.77
S 0.0000 0.0000 0.0000  6 Pa 2.77
As 0.5000 0.5000 0.0000  6 Pa 2.90
Ge 0.0000 0.5000 0.5000  6 Pa 2.90


(6)
DFT (PBE) results for a relaxed Pa4GeSbAs2 crystal.

Summary:
Total moment   0.00 Bohr magnetons per cell
Raw formation energy   -0.741 eV/atom
Electronic total energy   -7.743 eV per atom
Crystal system   monoclinic

Unit cell a=4.1621 b=7.2352 c=7.2350 alpha=70.67 beta=90.00 gamma=90.00
With the nearest neighbours (Å) after each atom.
Fractional positions:
As 0.5000 0.0000 0.5000  6 Pa 2.86
As 0.0000 0.0000 0.0000  6 Pa 2.95
Pa 0.0000 0.2343 0.2656  3 As 2.86-2.95, 1 Ge 2.95, 2 Sb 3.05
Pa 0.5000 0.7576 0.2578  3 As 2.86-2.95, 2 Ge 2.95, 1 Sb 3.04
Pa 0.0000 0.7657 0.7344  3 As 2.86-2.95, 1 Ge 2.95, 2 Sb 3.05
Pa 0.5000 0.2424 0.7422  3 As 2.86-2.95, 2 Ge 2.95, 1 Sb 3.04
Sb 0.5000 0.5000 0.0000  6 Pa 3.04-3.05
Ge 0.0000 0.5000 0.5000  6 Pa 2.95


(7)
DFT (PBE) results for a relaxed Pa4GeAsSe2 crystal.

Summary:
Total moment   0.00 Bohr magnetons per cell
Raw formation energy   -1.011 eV/atom
Electronic total energy   -7.789 eV per atom
Crystal system   monoclinic

Unit cell a=4.1455 b=6.9541 c=7.1625 alpha=69.83 beta=90.00 gamma=90.00
With the nearest neighbours (Å) after each atom.
Fractional positions:
Se 0.0000 0.0000 0.0000  6 Pa 2.89
Se 0.5000 0.0000 0.5000  6 Pa 2.89-2.90
Pa 0.0000 0.7500 0.7501  3 Se 2.89-2.90, 2 As 2.89, 1 Ge 2.89
Pa 0.0000 0.2500 0.2499  3 Se 2.89-2.90, 2 As 2.89, 1 Ge 2.89
Pa 0.5000 0.2497 0.7503  3 Se 2.89, 1 As 2.89, 2 Ge 2.90
Pa 0.5000 0.7503 0.2497  3 Se 2.89, 1 As 2.89, 2 Ge 2.90
Ge 0.0000 0.5000 0.5000  6 Pa 2.89-2.90
As 0.5000 0.5000 0.0000  6 Pa 2.89


(8)
DFT (PBE) results for a relaxed Pa4Ge2AsSe crystal.

Summary:
Total moment   0.00 Bohr magnetons per cell
Raw formation energy   -0.820 eV/atom
Electronic total energy   -7.739 eV per atom
Crystal system   monoclinic

Unit cell a=4.1258 b=7.0808 c=7.1375 alpha=70.33 beta=90.00 gamma=90.00
With the nearest neighbours (Å) after each atom.
Fractional positions:
Se 0.0000 0.5000 0.5000  6 Pa 2.92
Pa 0.5000 0.7519 0.2480  3 Ge 2.90-2.91, 1 As 2.91, 2 Se 2.92
Pa 0.0000 0.2490 0.2491  3 Ge 2.90-2.91, 2 As 2.91, 1 Se 2.92
Pa 0.0000 0.7510 0.7509  3 Ge 2.90-2.91, 2 As 2.91, 1 Se 2.92
Pa 0.5000 0.2481 0.7520  3 Ge 2.90-2.91, 1 As 2.91, 2 Se 2.92
As 0.5000 0.5000 0.0000  6 Pa 2.91
Ge 0.0000 0.0000 0.0000  6 Pa 2.90
Ge 0.5000 0.0000 0.5000  6 Pa 2.91


(9)
DFT (PBE) results for a relaxed Pa4GeAs2Se crystal.

Summary:
Total moment   0.00 Bohr magnetons per cell
Raw formation energy   -0.967 eV/atom
Electronic total energy   -7.890 eV per atom
Crystal system   monoclinic

Unit cell a=4.1057 b=7.1180 c=7.0793 alpha=70.47 beta=90.00 gamma=90.00
With the nearest neighbours (Å) after each atom.
Fractional positions:
Pa 0.5000 0.2492 0.7492  3 As 2.89-2.90, 2 Ge 2.90, 1 Se 2.91
Pa 0.5000 0.7508 0.2508  3 As 2.89-2.90, 2 Ge 2.90, 1 Se 2.91
Pa 0.0000 0.2485 0.2514  3 As 2.89-2.90, 1 Ge 2.90, 2 Se 2.91
Pa 0.0000 0.7515 0.7486  3 As 2.89-2.90, 1 Ge 2.90, 2 Se 2.91
Se 0.5000 0.5000 0.0000  6 Pa 2.91
As 0.5000 0.0000 0.5000  6 Pa 2.89
As 0.0000 0.0000 0.0000  6 Pa 2.90
Ge 0.0000 0.5000 0.5000  6 Pa 2.90


(10)
DFT (PBE) results for a relaxed TbPaGeAs crystal.

Summary:
Total moment   0.00 Bohr magnetons per cell
Electronic total energy   -6.824 eV per atom
Crystal system   trigonal

Unit cell a=4.1524 b=4.1524 c=7.1045 alpha=73.01 beta=73.01 gamma=60.00
With the nearest neighbours (Å) after each atom.
Fractional positions:
Tb 0.6944 0.6944 0.9169  3 As 2.95, 3 Ge 2.95
Pa 0.1932 0.1932 0.4204  3 Ge 2.88, 3 As 2.91
Ge 0.4467 0.4467 0.6598  3 Pa 2.88, 3 Tb 2.95
As 0.9421 0.9421 0.1736  3 Pa 2.91, 3 Tb 2.95


(11)
DFT (PBE) results for a relaxed PaTcGeAs crystal.

Summary:
Total moment   0.00 Bohr magnetons per cell
Electronic total energy   -7.579 eV per atom
Crystal system   cubic

Unit cell a=4.6991 b=4.6991 c=4.6991 alpha=60.00 beta=60.00 gamma=60.00
With the nearest neighbours (Å) after each atom.
Fractional positions:
Tc 0.2500 0.2500 0.2500  4 Ge 2.88, 4 As 2.88
As 0.5000 0.5000 0.5000  4 Tc 2.88, 4 Pa 2.88
Ge 0.0000 0.0000 0.0000  4 Pa 2.88, 4 Tc 2.88
Pa 0.7500 0.7500 0.7500  4 Ge 2.88, 4 As 2.88


(12)
DFT (PBE) results for a relaxed Pa4GeTe2As crystal.

Summary:
Total moment   0.00 Bohr magnetons per cell
Raw formation energy   -0.720 eV/atom
Electronic total energy   -7.412 eV per atom
Crystal system   monoclinic

Unit cell a=4.1441 b=7.1581 c=7.5902 alpha=108.43 beta=90.00 gamma=90.00
With the nearest neighbours (Å) after each atom.
Fractional positions:
Pa 0.5000 0.7606 0.7778  2 As 2.87, 1 Ge 2.88, 3 Te 3.11-3.12
Pa 0.0000 0.2578 0.7773  1 As 2.87, 2 Ge 2.88, 3 Te 3.11-3.12
Pa 0.0000 0.7422 0.2227  1 As 2.87, 2 Ge 2.88, 3 Te 3.11-3.12
Pa 0.5000 0.2394 0.2222  2 As 2.87, 1 Ge 2.88, 3 Te 3.11-3.12
Ge 0.5000 0.5000 0.0000  6 Pa 2.88
Te 0.5000 0.0000 0.5000  6 Pa 3.11
Te 0.0000 0.5000 0.5000  6 Pa 3.12
As 0.0000 0.0000 0.0000  6 Pa 2.87


- The lowest electronic total energy belongs to which entry?
  PuPaGeAs